! PbSe | Alexandria via LeMat-Bulk | PBE-GGA | optimized geometry; values from VASP
! E ... -4.05 eV per atom
! E_form (uncorrected) ... -44 kJ per mole of atoms
&SYSTEM
  ibrav = 0, nat = 2, ntyp = 2
/
ATOMIC_SPECIES
Pb 207.20 Pb.upf
Se 78.96 Se.upf
CELL_PARAMETERS angstrom
4.216 0.000 0.000
-2.108 3.651 0.000
0.000 0.000 3.931
ATOMIC_POSITIONS angstrom
Pb 0.000 0.000 0.000
Se 2.108 1.217 1.965